No. 1
OsSeS3 (SCAN, PBEsol geometry); density of states at the Fermi level = 5.33 states/eV/cell; uncorrected formation energy = 680 meV/atom; total moment = 0.000 μB/atom; electronic total energy = -23.4884 eV/atom
1.0
4.5426 0.0000 0.0000
0.0000 4.5426 0.0000
0.0000 0.0000 4.5426
Os Se S
1 1 3
Direct
0.0000 0.0000 0.0000
0.5000 0.5000 0.5000
0.0000 0.0000 0.5000
0.0000 0.5000 0.0000
0.5000 0.0000 0.0000

---

No. 2
CoPbAu3 (SCAN, PBEsol geometry); density of states at the Fermi level = 4.01 states/eV/cell; ΔH_f (0 K) = 1.23 eV/atom; total moment = 0.593 μB/atom; electronic total energy = -58.8833 eV/atom
1.0
5.1457 0.0000 0.0000
0.0000 5.1457 0.0000
0.0000 0.0000 5.1457
Co Pb Au
1 1 3
Direct
0.0000 0.0000 0.0000
0.5000 0.5000 0.5000
0.0000 0.5000 0.5000
0.5000 0.0000 0.5000
0.5000 0.5000 0.0000

---

What is the total moment in the second record?
0.593 μB/atom